Record 1
Density functional theory data (PBE) for a relaxed Ga2Pt5Rh4 crystal.

## Properties
Raw total energy = -67.1 eV per cell
E_form = -0.133 eV per atom
D(E_F) = 14.45 states/eV/cell

Unit cell a=2.774 b=6.511 c=10.693 alpha=117.97 beta=97.45 gamma=90.00
Positions (direct):
Ga: 0.417 0.529 0.835
Ga: 0.583 0.471 0.165
Rh: 0.955 0.267 0.910
Rh: 0.873 0.784 0.746
Rh: 0.127 0.216 0.254
Rh: 0.045 0.733 0.090
Pt: 0.722 0.620 0.445
Pt: 0.278 0.380 0.555
Pt: 0.815 0.088 0.631
Pt: 0.500 0.000 0.000
Pt: 0.185 0.912 0.369

---

Record 2
Density functional theory data (PBE) for a relaxed LaTa2P2 crystal.

## Properties
Raw total energy = -83.4 eV per cell
E_form = -0.445 eV per atom
D(E_F) = 8.84 states/eV/cell

Unit cell a=7.578 b=7.578 c=3.236 alpha=90.00 beta=90.00 gamma=90.00
Positions (direct):
P: 0.136 0.364 0.000
P: 0.364 0.864 0.000
P: 0.864 0.636 0.000
P: 0.636 0.136 0.000
Ta: 0.865 0.365 0.500
Ta: 0.635 0.865 0.500
Ta: 0.135 0.635 0.500
Ta: 0.365 0.135 0.500
La: 0.500 0.500 0.000
La: 0.000 0.000 0.000

---

Record 3
Density functional theory data (PBE) for a relaxed InTeBr crystal.

## Properties
Raw total energy = -35.8 eV per cell
Raw formation energy = -0.4617 eV/atom

Unit cell a=6.921 b=8.549 c=8.747 alpha=101.81 beta=90.00 gamma=90.00
Positions (direct):
Te: 0.654 0.630 0.394
Te: 0.346 0.370 0.606
Te: 0.846 0.630 0.894
Te: 0.154 0.370 0.106
Br: 0.660 0.105 0.198
Br: 0.340 0.895 0.802
Br: 0.840 0.105 0.698
Br: 0.160 0.895 0.302
In: 0.213 0.190 0.811
In: 0.713 0.810 0.689
In: 0.287 0.190 0.311
In: 0.787 0.810 0.189

---

Record 4
Density functional theory data (PBE) for a relaxed TaSi23 crystal.

## Properties
Raw total energy = -262.3 eV per cell
Raw formation energy = 0.2273 eV/atom
D(E_F) = 15.69 states/eV/cell

Unit cell a=10.179 b=10.179 c=10.179 alpha=90.00 beta=90.00 gamma=90.00
Each line ends with the local moment (μB).
Positions (direct):
Si: 0.681 0.319 0.681  0.01
Si: 0.500 0.384 0.808  0.00
Si: 0.884 0.000 0.308  0.00
Si: 0.384 0.192 0.500  0.00
Si: 0.500 0.384 0.192  0.00
Si: 0.181 0.819 0.181  0.01
Si: 0.250 0.000 0.500  0.05
Si: 0.884 0.000 0.692  0.00
Si: 0.116 0.000 0.692  0.00
Si: 0.181 0.819 0.819  0.01
Si: 0.616 0.192 0.500  0.00
Si: 0.500 0.616 0.192  0.00
Si: 0.000 0.308 0.116  0.00
Si: 0.319 0.681 0.319  0.01
Si: 0.000 0.308 0.884  0.00
Si: 0.819 0.181 0.181  0.01
Si: 0.692 0.116 0.000  0.00
Si: 0.181 0.181 0.181  0.01
Si: 0.319 0.319 0.319  0.01
Si: 0.181 0.181 0.819  0.01
Si: 0.819 0.819 0.181  0.01
Si: 0.500 0.750 0.000  0.05
Si: 0.681 0.681 0.681  0.01
Si: 0.681 0.681 0.319  0.01
Si: 0.808 0.500 0.384  0.00
Si: 0.319 0.681 0.681  0.01
Si: 0.500 0.616 0.808  0.00
Si: 0.192 0.500 0.384  0.00
Si: 0.000 0.692 0.116  0.00
Si: 0.308 0.116 0.000  0.00
Si: 0.308 0.884 0.000  0.00
Si: 0.819 0.181 0.819  0.01
Si: 0.000 0.692 0.884  0.00
Si: 0.116 0.000 0.308  0.00
Si: 0.616 0.808 0.500  0.00
Si: 0.692 0.884 0.000  0.00
Si: 0.319 0.319 0.681  0.01
Si: 0.808 0.500 0.616  0.00
Si: 0.000 0.500 0.750  0.05
Si: 0.500 0.250 0.000  0.05
Si: 0.384 0.808 0.500  0.00
Si: 0.000 0.500 0.250  0.05
Si: 0.681 0.319 0.319  0.01
Si: 0.192 0.500 0.616  0.00
Si: 0.750 0.000 0.500  0.05
Si: 0.819 0.819 0.819  0.01
Ta: 0.500 0.500 0.500  1.48
Ta: 0.000 0.000 0.000  1.48

---

Record 5
Density functional theory data (PBE) for a relaxed NaPt3 crystal.

## Properties
Raw total energy = -36.4 eV per cell
E_form = 0.309 eV per atom
D(E_F) = 15.71 states/eV/cell

Unit cell a=5.128 b=5.128 c=5.128 alpha=90.00 beta=90.00 gamma=90.00
Positions (direct):
Pt: 0.500 0.000 0.250
Pt: 0.750 0.500 0.000
Pt: 0.250 0.500 0.000
Pt: 0.000 0.250 0.500
Pt: 0.000 0.750 0.500
Pt: 0.500 0.000 0.750
Na: 0.000 0.000 0.000
Na: 0.500 0.500 0.500

---

Record 6
Density functional theory data (PBE) for a relaxed Pm2NdSmS4 crystal.

## Properties
Raw total energy = -51.7 eV per cell
Raw formation energy = -2.0271 eV/atom
D(E_F) = 5.08 states/eV/cell

Unit cell a=4.006 b=7.004 c=7.018 alpha=70.87 beta=90.00 gamma=90.00
Positions (direct):
S: 0.000 0.249 0.253
S: 0.500 0.251 0.747
S: 0.500 0.749 0.253
S: 0.000 0.751 0.747
Pm: 0.000 0.000 0.000
Pm: 0.500 0.000 0.500
Sm: 0.000 0.500 0.500
Nd: 0.500 0.500 0.000